Record 1
Density functional theory data (PBE-GGA) for a geometry-optimized KMgAu structure.

Geometry as CIF:
```
data_KMgAu
_symmetry_space_group_name_H-M 'P 4/n m m'
_symmetry_Int_Tables_number 129
_cell_length_a 4.5953
_cell_length_b 4.5953
_cell_length_c 8.3397
_cell_angle_alpha 90.00
_cell_angle_beta 90.00
_cell_angle_gamma 90.00
loop_
_symmetry_equiv_pos_as_xyz
'x,y,z'
'-x,-y,-z'
'-y+1/2,x,z'
'y+1/2,-x,-z'
'-x+1/2,-y+1/2,z'
'x+1/2,y+1/2,-z'
'y,-x+1/2,z'
'-y,x+1/2,-z'
'x+1/2,-y,-z'
'-x+1/2,y,z'
'-y,-x,-z'
'y,x,z'
'-x,y+1/2,-z'
'x,-y+1/2,z'
'y+1/2,x+1/2,-z'
'-y+1/2,-x+1/2,z'
loop_
_atom_site_label
_atom_site_type_symbol
_atom_site_fract_x
_atom_site_fract_y
_atom_site_fract_z
_atom_site_occupancy
K1 K 0.2500 0.2500 0.1410 1
Mg1 Mg 0.2500 0.7500 0.5000 1
Au1 Au 0.2500 0.2500 0.6881 1
```

Polymorph energy (0 for the lowest one): 0.0000 eV/atom
Formation enthalpy at 0 K: -8.173 kcal/mol of atoms
DOS(E_F): 0.4121 states/eV/atom
DFT total energy: -0.172 Ry/atom



Record 2
Density functional theory data (PBE-GGA) for a geometry-optimized K2MgAu structure.

Geometry as CIF:
```
data_K2MgAu
_symmetry_space_group_name_H-M 'P 1 m 1'
_symmetry_Int_Tables_number 6
_cell_length_a 5.2268
_cell_length_b 4.7188
_cell_length_c 6.8458
_cell_angle_alpha 90.00
_cell_angle_beta 112.34
_cell_angle_gamma 90.00
loop_
_symmetry_equiv_pos_as_xyz
'x,y,z'
'x,-y,z'
loop_
_atom_site_label
_atom_site_type_symbol
_atom_site_fract_x
_atom_site_fract_y
_atom_site_fract_z
_atom_site_occupancy
K1 K 0.0000 0.0000 0.0000 1
K2 K 0.2968 0.5000 0.5947 1
Mg1 Mg 0.6909 0.0000 0.3855 1
Au1 Au 0.5910 0.5000 0.1826 1
```

Formation enthalpy at 0 K: -3.486 kcal/mol of atoms
DOS(E_F): 0.3961 states/eV/atom
DFT total energy: -0.141 Ry/atom